K2MnTe: PBEsol geometry, meta-GGA SCAN.

abc: 5.226 6.058 5.226
angles: 64.45 90.00 115.55
Sites, in units of the cell vectors:
1 K 0.250 0.500 0.250
2 K 0.750 0.500 0.750
3 Mn 0.000 0.000 0.000
4 Te 0.500 0.000 0.500

Properties
SG: I4/mmm (139)
Formation energy from raw total energies (kJ per mole of atoms): -22.4

---

PdPtAu3: PBEsol geometry, meta-GGA SCAN.

abc: 4.812 4.812 4.812
angles: 90.00 90.00 90.00
Sites, in units of the cell vectors:
1 Au 0.000 0.500 0.000
2 Au 0.500 0.000 0.000
3 Au 0.000 0.000 0.500
4 Pt 0.500 0.500 0.500
5 Pd 0.000 0.000 0.000

Properties
SG: Pm-3m (221)
Calculated formation energy (meV per atom): 1350

---

Cd2PtAu: PBEsol geometry, meta-GGA SCAN.

abc: 3.021 4.901 4.901
angles: 107.33 90.00 90.00
Sites, in units of the cell vectors:
1 Cd 0.000 0.500 0.000
2 Cd 0.000 0.000 0.500
3 Pt 0.500 0.000 0.000
4 Au 0.500 0.500 0.500

Properties
SG: Cmmm (65)
Calculated formation energy (meV per atom): -285

---

Mn2AlP: PBEsol geometry, meta-GGA SCAN.

abc: 2.801 4.020 4.396
angles: 107.50 108.58 90.00
Sites, in units of the cell vectors:
1 Mn 0.994 0.040 0.989
2 Mn 0.246 0.702 0.491
3 P 0.513 0.546 0.025
4 Al 0.747 0.212 0.495

Properties
E above lowest polymorph (eV/atom): 0.1070
SG: Cm (8)
Calculated formation energy (meV per atom): -172

---

Number 1: mass density 3.3 g/cm³, final energy -73.09 eV per formula unit. Number 2: mass density 13.3 g/cm³, final energy -303.69 eV per formula unit. Number 3: mass density 14.8 g/cm³, final energy -201.32 eV per formula unit. Number 4: mass density 6.3 g/cm³, final energy -55.35 eV per formula unit.